Model A:
DFT (PBE) results for a geometry-optimized BiAsH structure.

abc: 4.216 9.041 6.801
angles: 39.30 89.79 103.80
Fractional positions:
1 H 0.834 0.670 0.874
2 H 0.166 0.330 0.126
3 As 0.175 0.342 0.885
4 As 0.825 0.658 0.115
5 Bi 0.492 0.988 0.237
6 Bi 0.508 0.012 0.763

=====

Model B:
DFT (PBE) results for a geometry-optimized BiAsH structure.

abc: 4.282 8.574 8.933
angles: 95.20 90.00 90.00
Fractional positions:
1 Bi 0.750 0.388 0.639
2 Bi 0.250 0.112 0.361
3 Bi 0.250 0.612 0.361
4 Bi 0.750 0.888 0.639
5 As 0.750 0.359 0.328
6 As 0.250 0.141 0.672
7 As 0.250 0.641 0.672
8 As 0.750 0.859 0.328
9 H 0.462 0.021 0.969
10 H 0.962 0.479 0.031
11 H 0.538 0.979 0.031
12 H 0.038 0.521 0.969

=====

According to the calculations, the structures order from most to least stable as model B, model A.